1.
An optimized crystal structure of Cd2PdCl2, computed with GGA-PBE.

Computed properties:
The total magnetic moment comes out at 0.000 μB/cell. For the relative energy among the computed polymorphs, the calculation gives 0.10 eV/f.u. The calculation puts the density of states at the Fermi level at 0.3 states/eV per cell. The total energy comes out at -2.3015 eV per atom.

a = 7.385 Å, b = 7.385 Å, c = 4.341 Å
α = 90.00°, β = 90.00°, γ = 90.00°
Fractional coordinates of all 10 atoms:
Cl (0.281, 0.219, 0.500)
Cd (0.631, 0.131, 0.000)
Pd (0.000, 0.000, 0.000)
Cl (0.219, 0.719, 0.500)
Cd (0.131, 0.369, 0.000)
Cl (0.719, 0.781, 0.500)
Cl (0.781, 0.281, 0.500)
Cd (0.869, 0.631, 0.000)
Pd (0.500, 0.500, 0.000)
Cd (0.369, 0.869, 0.000)



2.
An optimized crystal structure of HgPHCl2, computed with GGA-PBE.

Computed properties:
The total magnetic moment comes out at 0.000 μB/cell. For the relative energy among the computed polymorphs, the calculation gives 0.00 eV/f.u. The calculation puts the density of states at the Fermi level at 3.7 states/eV per cell. The total energy comes out at -2.1107 eV per atom.

a = 5.213 Å, b = 5.213 Å, c = 3.341 Å
α = 90.00°, β = 90.00°, γ = 90.00°
Fractional coordinates of all 5 atoms:
H (0.000, 0.000, 0.000)
Cl (0.500, 0.000, 0.000)
Hg (0.500, 0.500, 0.500)
P (0.000, 0.000, 0.500)
Cl (0.000, 0.500, 0.000)



3.
An optimized crystal structure of Tb2NpPdN4, computed with GGA-PBE.

Computed properties:
The total magnetic moment comes out at 1.489 μB/cell. The calculation puts the density of states at the Fermi level at 6.9 states/eV per cell. The total energy comes out at -8.5719 eV per atom.

a = 3.617 Å, b = 5.703 Å, c = 5.717 Å
α = 103.15°, β = 90.00°, γ = 90.00°
Last column: magnetic moment on the atom in μB.
Fractional coordinates of all 8 atoms:
N (0.000, 0.246, 0.761)  -0.06
Tb (0.500, 0.000, 0.500)  0.03
N (0.500, 0.684, 0.738)  -0.08
Np (0.500, 0.500, 0.000)  1.79
N (0.500, 0.316, 0.262)  -0.08
Tb (0.000, 0.500, 0.500)  0.00
Pd (0.000, 0.000, 0.000)  -0.10
N (0.000, 0.754, 0.239)  -0.06



4.
An optimized crystal structure of LuGa2Au, computed with GGA-PBE.

Computed properties:
The total magnetic moment comes out at 0.000 μB/cell. The value obtained for the formation energy is -0.553 eV/atom. The calculation puts the density of states at the Fermi level at 0.4 states/eV per cell. The total energy comes out at -4.0161 eV per atom.

a = 4.226 Å, b = 4.241 Å, c = 4.241 Å
α = 90.00°, β = 90.00°, γ = 90.00°
Fractional coordinates of all 4 atoms:
Lu (0.500, 0.500, 0.500)
Ga (0.000, 0.500, 0.000)
Au (0.500, 0.000, 0.000)
Ga (0.000, 0.000, 0.500)



5.
An optimized crystal structure of CaMgPb, computed with GGA-PBE.

Computed properties:
The total magnetic moment comes out at 0.000 μB/cell. The value obtained for the formation energy is -0.439 eV/atom. The calculation puts the density of states at the Fermi level at 1.6 states/eV per cell. The total energy comes out at -2.8742 eV per atom.

a = 4.768 Å, b = 7.942 Å, c = 8.954 Å
α = 90.00°, β = 90.00°, γ = 90.00°
Fractional coordinates of all 12 atoms:
Ca (0.250, 0.522, 0.317)
Pb (0.750, 0.739, 0.119)
Mg (0.750, 0.859, 0.439)
Pb (0.250, 0.261, 0.881)
Pb (0.750, 0.239, 0.381)
Mg (0.250, 0.141, 0.561)
Ca (0.750, 0.478, 0.683)
Mg (0.250, 0.641, 0.939)
Pb (0.250, 0.761, 0.619)
Ca (0.250, 0.022, 0.183)
Mg (0.750, 0.359, 0.061)
Ca (0.750, 0.978, 0.817)



6.
An optimized crystal structure of YTcIN2, computed with GGA-PBE.

Computed properties:
The total magnetic moment comes out at 4.962 μB/cell. For the relative energy among the computed polymorphs, the calculation gives 4.57 eV/f.u. The calculation puts the density of states at the Fermi level at 3.1 states/eV per cell. The total energy comes out at -5.6886 eV per atom.

a = 4.367 Å, b = 4.367 Å, c = 6.161 Å
α = 90.00°, β = 90.00°, γ = 90.00°
Last column: magnetic moment on the atom in μB.
Fractional coordinates of all 5 atoms:
N (0.000, 0.500, 0.000)  0.22
Tc (0.500, 0.500, 0.500)  3.69
I (0.000, 0.000, 0.500)  0.07
Y (0.000, 0.000, 0.000)  0.08
N (0.500, 0.000, 0.000)  0.22



7.
An optimized crystal structure of Th2Tc2Ge, computed with GGA-PBE.

Computed properties:
The total magnetic moment comes out at 0.000 μB/cell. The value obtained for the formation energy is -0.347 eV/atom. The calculation puts the density of states at the Fermi level at 6.9 states/eV per cell. The total energy comes out at -8.3847 eV per atom.

a = 5.816 Å, b = 5.816 Å, c = 8.151 Å
α = 74.71°, β = 74.71°, γ = 56.58°
Fractional coordinates of all 10 atoms:
Ge (0.111, 0.889, 0.250)
Ge (0.889, 0.111, 0.750)
Tc (0.289, 0.983, 0.470)
Tc (0.017, 0.711, 0.030)
Th (0.497, 0.798, 0.858)
Th (0.503, 0.202, 0.142)
Th (0.202, 0.503, 0.642)
Tc (0.983, 0.289, 0.970)
Th (0.798, 0.497, 0.358)
Tc (0.711, 0.017, 0.530)



8.
An optimized crystal structure of CdSeI, computed with GGA-PBE.

Computed properties:
The total magnetic moment comes out at 0.000 μB/cell. For the relative energy among the computed polymorphs, the calculation gives 0.23 eV/f.u. The total energy comes out at -2.3673 eV per atom.

a = 4.403 Å, b = 7.431 Å, c = 7.987 Å
α = 64.27°, β = 83.21°, γ = 87.91°
Fractional coordinates of all 6 atoms:
I (0.289, 0.076, 0.383)
Cd (0.022, 0.216, 0.655)
Se (0.515, 0.426, 0.643)
Se (0.917, 0.817, 0.875)
Cd (0.467, 0.746, 0.715)
I (0.712, 0.635, 0.248)



9.
An optimized crystal structure of Pu2MnCu, computed with GGA-PBE.

Computed properties:
The total magnetic moment comes out at 8.853 μB/cell. The value obtained for the formation energy is 0.086 eV/atom. The calculation puts the density of states at the Fermi level at 8.6 states/eV per cell. The total energy comes out at -10.3964 eV per atom.

a = 3.115 Å, b = 3.115 Å, c = 7.930 Å
α = 90.00°, β = 90.00°, γ = 90.00°
Last column: magnetic moment on the atom in μB.
Fractional coordinates of all 4 atoms:
Pu (0.000, 0.000, 0.266)  5.41
Pu (0.000, 0.000, 0.734)  5.41
Cu (0.500, 0.500, 0.000)  0.07
Mn (0.500, 0.500, 0.500)  -2.56



10.
An optimized crystal structure of FeTc3Br, computed with GGA-PBE.

Computed properties:
The total magnetic moment comes out at 2.578 μB/cell. For the relative energy among the computed polymorphs, the calculation gives 0.00 eV/f.u. The calculation puts the density of states at the Fermi level at 6.5 states/eV per cell. The total energy comes out at -6.6635 eV per atom.

a = 4.509 Å, b = 4.509 Å, c = 4.509 Å
α = 90.00°, β = 90.00°, γ = 90.00°
Last column: magnetic moment on the atom in μB.
Fractional coordinates of all 5 atoms:
Tc (0.000, 0.500, 0.000)  0.96
Br (0.500, 0.500, 0.500)  0.07
Fe (0.000, 0.000, 0.000)  -0.25
Tc (0.000, 0.000, 0.500)  0.78
Tc (0.500, 0.000, 0.000)  0.76



11.
An optimized crystal structure of Cd2SnIrO8, computed with GGA-PBE.

Computed properties:
The total magnetic moment comes out at 0.000 μB/cell. The calculation puts the density of states at the Fermi level at 4.3 states/eV per cell. The total energy comes out at -5.3574 eV per atom.

a = 5.005 Å, b = 4.988 Å, c = 6.529 Å
α = 90.00°, β = 90.00°, γ = 93.07°
Fractional coordinates of all 12 atoms:
O (0.826, 0.176, 0.776)
Cd (0.500, 0.500, 0.249)
O (0.729, 0.730, 0.000)
Sn (0.000, 0.000, 0.500)
Ir (0.000, 0.000, 0.000)
O (0.711, 0.713, 0.500)
O (0.174, 0.824, 0.776)
O (0.174, 0.824, 0.224)
O (0.271, 0.270, 0.000)
O (0.826, 0.176, 0.224)
Cd (0.500, 0.500, 0.751)
O (0.289, 0.287, 0.500)



12.
An optimized crystal structure of CsSnF3, computed with GGA-PBE.

Computed properties:
The total magnetic moment comes out at 0.000 μB/cell. The calculation puts the density of states at the Fermi level at 2.4 states/eV per cell. The total energy comes out at -3.9821 eV per atom.

a = 4.524 Å, b = 4.524 Å, c = 12.317 Å
α = 79.42°, β = 79.42°, γ = 90.00°
Fractional coordinates of all 10 atoms:
F (0.110, 0.358, 0.779)
Cs (0.250, 0.750, 0.500)
F (0.679, 0.679, 0.641)
F (0.137, 0.890, 0.221)
F (0.321, 0.321, 0.359)
F (0.110, 0.863, 0.779)
Cs (0.000, 0.000, 0.000)
Sn (0.868, 0.368, 0.265)
Sn (0.632, 0.132, 0.735)
F (0.642, 0.890, 0.221)



13.
An optimized crystal structure of Ta2WBrN, computed with GGA-PBE.

Computed properties:
The total magnetic moment comes out at 0.000 μB/cell. The calculation puts the density of states at the Fermi level at 5.6 states/eV per cell. The total energy comes out at -7.9813 eV per atom.

a = 5.121 Å, b = 3.875 Å, c = 5.121 Å
α = 90.00°, β = 90.00°, γ = 90.00°
Fractional coordinates of all 5 atoms:
W (0.000, 0.000, 0.000)
N (0.000, 0.500, 0.000)
Br (0.500, 0.500, 0.500)
Ta (0.000, 0.000, 0.500)
Ta (0.500, 0.000, 0.000)